# ThNp2UP4 GGA-PBE optimized geometry
data_ThNp2UP4
_chemical_formula_sum 'Th1 Np2 U1 P4'
_symmetry_space_group_name_H-M 'P 1'
_symmetry_Int_Tables_number 1
_symmetry_space_group_name_Hall 'P 1'
_cell_length_a 4.015
_cell_length_b 7.006
_cell_length_c 6.871
_cell_angle_alpha 109.51
_cell_angle_beta 90.00
_cell_angle_gamma 90.00
loop_
_atom_site_label
_atom_site_type_symbol
_atom_site_fract_x
_atom_site_fract_y
_atom_site_fract_z
Th1 Th 0.500 0.500 0.000
Np1 Np 0.500 0.000 0.500
Np2 Np 0.000 0.500 0.500
U1 U 0.000 0.000 0.000
P1 P 0.500 0.244 0.254
P2 P 0.500 0.756 0.746
P3 P 0.000 0.239 0.741
P4 P 0.000 0.761 0.259
# * volume: 22.8 A^3/atom
# * total magnetization: 10.0 μB per formula unit
# * energy relative to the elements: -816 kJ/mol of formula units